Version w
# MgIn2Cl

A relaxed MgIn2Cl crystal (PBE, Alexandria).

Summary:
Density of states at the Fermi level in states/eV per cell: 2.63
Symmetry: Immm
Magnetic moment in μB per formula unit: 0.00

Lattice parameters (Å, degrees): 3.1514 4.4054 15.1124 90.00 90.00 90.00
With the nearest neighbours (Å) after each atom.
Fractional positions:
1 Mg 0.0000 0.0000 0.0000  4 Cl 2.71
2 Mg 0.5000 0.5000 0.5000  4 Cl 2.71
3 In 0.0000 0.5000 0.3111  6 In 3.15-3.28, 2 Mg 3.26
4 In 0.0000 0.5000 0.6889  6 In 3.15-3.28, 2 Mg 3.26
5 In 0.5000 0.0000 0.1889  6 In 3.15-3.28, 2 Mg 3.26
6 In 0.5000 0.0000 0.8111  6 In 3.15-3.28, 2 Mg 3.26
7 Cl 0.0000 0.0000 0.5000  4 Mg 2.71
8 Cl 0.5000 0.5000 0.0000  4 Mg 2.71


Version x
# MgIn2Cl

A relaxed MgIn2Cl crystal (PBE, Alexandria).

Summary:
Density of states at the Fermi level in states/eV per cell: 2.39
Symmetry: C2/m
Magnetic moment in μB per formula unit: 0.00

Lattice parameters (Å, degrees): 7.8794 7.8462 3.3117 90.00 96.92 90.00
With the nearest neighbours (Å) after each atom.
Fractional positions:
1 Mg 0.0000 0.0000 0.0000  8 In 3.11-3.35, 2 Mg 3.31
2 Mg 0.5000 0.5000 0.0000  8 In 3.11-3.35, 2 Mg 3.31
3 In 0.2500 0.2500 0.5000  4 Cl 3.11-3.35, 4 Mg 3.11-3.35, 2 In 3.31
4 In 0.2500 0.7500 0.5000  4 Cl 3.11-3.35, 4 Mg 3.11-3.35, 2 In 3.31
5 In 0.7500 0.2500 0.5000  4 Cl 3.11-3.35, 4 Mg 3.11-3.35, 2 In 3.31
6 In 0.7500 0.7500 0.5000  4 Mg 3.11-3.35, 4 Cl 3.11-3.35, 2 In 3.31
7 Cl 0.0000 0.5000 0.0000  8 In 3.11-3.35, 2 Cl 3.31
8 Cl 0.5000 0.0000 0.0000  8 In 3.11-3.35, 2 Cl 3.31


Version y
# MgIn2Cl

A relaxed MgIn2Cl crystal (PBE, Alexandria).

Summary:
Density of states at the Fermi level in states/eV per cell: 16.85
Symmetry: F-43m
Magnetic moment in μB per formula unit: 0.00

Lattice parameters (Å, degrees): 7.4296 7.4296 7.4296 90.00 90.00 90.00
With the nearest neighbours (Å) after each atom.
Fractional positions:
1 Mg 0.0000 0.0000 0.0000  4 In 3.22, 4 Cl 3.22
2 Mg 0.0000 0.5000 0.5000  4 In 3.22, 4 Cl 3.22
3 Mg 0.5000 0.0000 0.5000  4 In 3.22, 4 Cl 3.22
4 Mg 0.5000 0.5000 0.0000  4 In 3.22, 4 Cl 3.22
5 In 0.0000 0.0000 0.5000  4 Cl 3.22, 4 In 3.22
6 In 0.0000 0.5000 0.0000  4 Cl 3.22, 4 In 3.22
7 In 0.2500 0.2500 0.2500  4 In 3.22, 4 Mg 3.22
8 In 0.2500 0.7500 0.7500  4 In 3.22, 4 Mg 3.22
9 In 0.5000 0.0000 0.0000  4 Cl 3.22, 4 In 3.22
10 In 0.5000 0.5000 0.5000  4 Cl 3.22, 4 In 3.22
11 In 0.7500 0.2500 0.7500  4 In 3.22, 4 Mg 3.22
12 In 0.7500 0.7500 0.2500  4 In 3.22, 4 Mg 3.22
13 Cl 0.2500 0.2500 0.7500  4 In 3.22, 4 Mg 3.22
14 Cl 0.2500 0.7500 0.2500  4 In 3.22, 4 Mg 3.22
15 Cl 0.7500 0.2500 0.2500  4 In 3.22, 4 Mg 3.22
16 Cl 0.7500 0.7500 0.7500  4 In 3.22, 4 Mg 3.22


Version z
# MgIn2Cl

A relaxed MgIn2Cl crystal (PBE, Alexandria).

Summary:
Density of states at the Fermi level in states/eV per cell: 8.04
Symmetry: I-42d
Magnetic moment in μB per formula unit: 0.00

Lattice parameters (Å, degrees): 4.2211 4.2211 24.0307 90.00 90.00 90.00
With the nearest neighbours (Å) after each atom.
Fractional positions:
1 Mg 0.0000 0.0000 0.0000  4 Cl 2.98
2 Mg 0.0000 0.5000 0.2500  4 Cl 2.98
3 Mg 0.5000 0.0000 0.7500  4 Cl 2.98
4 Mg 0.5000 0.5000 0.5000  4 Cl 2.98
5 In 0.2497 0.2500 0.1250  4 In 2.98-2.99
6 In 0.2503 0.2500 0.6250  4 In 2.98-2.99
7 In 0.2500 0.7497 0.3750  4 In 2.98-2.99
8 In 0.2500 0.7503 0.8750  4 In 2.98-2.99
9 In 0.7500 0.2503 0.3750  4 In 2.98-2.99
10 In 0.7500 0.2497 0.8750  4 In 2.98-2.99
11 In 0.7503 0.7500 0.1250  4 In 2.98-2.99
12 In 0.7497 0.7500 0.6250  4 In 2.98-2.99
13 Cl 0.0000 0.0000 0.5000  4 Mg 2.98
14 Cl 0.0000 0.5000 0.7500  4 Mg 2.98
15 Cl 0.5000 0.0000 0.2500  4 Mg 2.98
16 Cl 0.5000 0.5000 0.0000  4 Mg 2.98


Which structure is most stable, and how do the rest compare? From most to least stable: version w, version x, version z, version y.


Version w
# MgIn2Cl

A relaxed MgIn2Cl crystal (PBE, Alexandria).

Summary:
Density of states at the Fermi level in states/eV per cell: 1.56
Symmetry: Cmm2
Magnetic moment in μB per formula unit: 0.00

Lattice parameters (Å, degrees): 3.7089 5.6396 10.2791 90.00 90.00 90.00
With the nearest neighbours (Å) after each atom.
Fractional positions:
1 Mg 0.0000 0.0000 0.0000  2 Cl 2.43
2 Mg 0.5000 0.5000 0.0000  2 Cl 2.43
3 In 0.0000 0.0000 0.4930  6 In 3.25-3.37
4 In 0.0000 0.5000 0.2336  2 Mg 3.03, 6 In 3.25-3.37
5 In 0.5000 0.0000 0.2336  2 Mg 3.03, 6 In 3.25-3.37
6 In 0.5000 0.5000 0.4930  6 In 3.25-3.37
7 Cl 0.0000 0.5000 0.8471  2 Mg 2.43
8 Cl 0.5000 0.0000 0.8471  2 Mg 2.43


Version x
# MgIn2Cl

A relaxed MgIn2Cl crystal (PBE, Alexandria).

Summary:
Density of states at the Fermi level in states/eV per cell: 2.06
Symmetry: Pmmm
Magnetic moment in μB per formula unit: 0.00

Lattice parameters (Å, degrees): 3.4058 5.1503 5.8367 90.00 90.00 90.00
With the nearest neighbours (Å) after each atom.
Fractional positions:
1 Mg 0.0000 0.0000 0.0000  2 Cl 2.92
2 In 0.5000 0.5000 0.2486  2 In 2.90-2.94
3 In 0.5000 0.5000 0.7514  2 In 2.90-2.94
4 Cl 0.0000 0.0000 0.5000  2 Mg 2.92


Which structure is most stable, and how do the rest compare? From most to least stable: version w, version x.


Version w
# MgIn2Cl

A relaxed MgIn2Cl crystal (PBE, Alexandria).

Summary:
Density of states at the Fermi level in states/eV per cell: 4.06
Symmetry: I4/mmm
Magnetic moment in μB per formula unit: 0.00

Lattice parameters (Å, degrees): 4.4319 4.4319 10.5441 90.00 90.00 90.00
With the nearest neighbours (Å) after each atom.
Fractional positions:
1 Mg 0.0000 0.0000 0.0000  4 Cl 3.13, 8 In 3.44
2 Mg 0.5000 0.5000 0.5000  4 Cl 3.13, 8 In 3.44
3 In 0.0000 0.5000 0.2500  4 In 3.13, 4 Mg 3.44, 4 Cl 3.44
4 In 0.0000 0.5000 0.7500  4 In 3.13, 4 Mg 3.44, 4 Cl 3.44
5 In 0.5000 0.0000 0.2500  4 In 3.13, 4 Mg 3.44, 4 Cl 3.44
6 In 0.5000 0.0000 0.7500  4 In 3.13, 4 Mg 3.44, 4 Cl 3.44
7 Cl 0.0000 0.0000 0.5000  4 Mg 3.13, 8 In 3.44
8 Cl 0.5000 0.5000 0.0000  4 Mg 3.13, 8 In 3.44


Version x
# MgIn2Cl

A relaxed MgIn2Cl crystal (PBE, Alexandria).

Summary:
Density of states at the Fermi level in states/eV per cell: 3.16
Symmetry: R-3m
Magnetic moment in μB per formula unit: 0.00

Lattice parameters (Å, degrees): 3.5164 3.5164 28.6647 90.00 90.00 120.00
With the nearest neighbours (Å) after each atom.
Fractional positions:
1 Mg 0.0000 0.0000 0.0000  6 In 3.22, 6 Mg 3.52
2 Mg 0.3333 0.6667 0.6667  6 In 3.22, 6 Mg 3.52
3 Mg 0.6667 0.3333 0.3333  6 In 3.22, 6 Mg 3.52
4 In 0.0000 0.0000 0.2460  3 Cl 3.05, 3 Mg 3.22
5 In 0.0000 0.0000 0.7540  3 Cl 3.05, 3 Mg 3.22
6 In 0.3333 0.6667 0.4206  3 Cl 3.05, 3 Mg 3.22
7 In 0.3333 0.6667 0.9127  3 Cl 3.05, 3 Mg 3.22
8 In 0.6667 0.3333 0.0873  3 Cl 3.05, 3 Mg 3.22
9 In 0.6667 0.3333 0.5794  3 Cl 3.05, 3 Mg 3.22
10 Cl 0.0000 0.0000 0.5000  6 In 3.05
11 Cl 0.3333 0.6667 0.1667  6 In 3.05
12 Cl 0.6667 0.3333 0.8333  6 In 3.05


Which structure is most stable, and how do the rest compare? From most to least stable: version x, version w.


Version w
# MgIn2Cl

A relaxed MgIn2Cl crystal (PBE, Alexandria).

Summary:
Density of states at the Fermi level in states/eV per cell: 0.82
Symmetry: Pmmm
Magnetic moment in μB per formula unit: 0.00

Lattice parameters (Å, degrees): 3.3669 5.3551 5.5101 90.00 90.00 90.00
With the nearest neighbours (Å) after each atom.
Fractional positions:
1 Mg 0.0000 0.0000 0.0000  4 Cl 3.16, 4 In 3.23, 2 Mg 3.37
2 In 0.0000 0.5000 0.5000  6 In 3.16-3.37, 4 Cl 3.23
3 In 0.5000 0.0000 0.5000  6 In 3.16-3.37, 4 Mg 3.23
4 Cl 0.5000 0.5000 0.0000  4 Mg 3.16, 4 In 3.23, 2 Cl 3.37


Version x
# MgIn2Cl

A relaxed MgIn2Cl crystal (PBE, Alexandria).

Summary:
Density of states at the Fermi level in states/eV per cell: 19.79
Symmetry: Fm-3m
Magnetic moment in μB per formula unit: 0.00

Lattice parameters (Å, degrees): 7.5604 7.5604 7.5604 90.00 90.00 90.00
With the nearest neighbours (Å) after each atom.
Fractional positions:
1 Mg 0.0000 0.0000 0.0000  8 In 3.27
2 Mg 0.0000 0.5000 0.5000  8 In 3.27
3 Mg 0.5000 0.0000 0.5000  8 In 3.27
4 Mg 0.5000 0.5000 0.0000  8 In 3.27
5 In 0.2500 0.2500 0.2500  4 Cl 3.27, 4 Mg 3.27
6 In 0.2500 0.2500 0.7500  4 Cl 3.27, 4 Mg 3.27
7 In 0.2500 0.7500 0.2500  4 Cl 3.27, 4 Mg 3.27
8 In 0.2500 0.7500 0.7500  4 Cl 3.27, 4 Mg 3.27
9 In 0.7500 0.2500 0.2500  4 Cl 3.27, 4 Mg 3.27
10 In 0.7500 0.2500 0.7500  4 Cl 3.27, 4 Mg 3.27
11 In 0.7500 0.7500 0.2500  4 Cl 3.27, 4 Mg 3.27
12 In 0.7500 0.7500 0.7500  4 Cl 3.27, 4 Mg 3.27
13 Cl 0.0000 0.0000 0.5000  8 In 3.27
14 Cl 0.0000 0.5000 0.0000  8 In 3.27
15 Cl 0.5000 0.0000 0.0000  8 In 3.27
16 Cl 0.5000 0.5000 0.5000  8 In 3.27


Which structure is most stable, and how do the rest compare? From most to least stable: version w, version x.


Version w
# MgIn2Cl

A relaxed MgIn2Cl crystal (PBE, Alexandria).

Summary:
Density of states at the Fermi level in states/eV per cell: 4.57
Symmetry: I-4m2
Magnetic moment in μB per formula unit: 0.00

Lattice parameters (Å, degrees): 4.4626 4.4626 10.8272 90.00 90.00 90.00
With the nearest neighbours (Å) after each atom.
Fractional positions:
1 Mg 0.0000 0.0000 0.0000  8 In 3.16-3.51, 4 Cl 3.51
2 Mg 0.5000 0.5000 0.5000  8 In 3.16-3.51, 4 Cl 3.51
3 In 0.0000 0.0000 0.5000  4 Mg 3.16, 4 Cl 3.51, 4 In 3.51
4 In 0.0000 0.5000 0.2500  4 Cl 3.16, 4 Mg 3.51, 4 In 3.51
5 In 0.5000 0.0000 0.7500  4 Cl 3.16, 4 Mg 3.51, 4 In 3.51
6 In 0.5000 0.5000 0.0000  4 Mg 3.16, 4 Cl 3.51, 4 In 3.51
7 Cl 0.0000 0.5000 0.7500  8 In 3.16-3.51, 4 Mg 3.51
8 Cl 0.5000 0.0000 0.2500  8 In 3.16-3.51, 4 Mg 3.51


Version x
# MgIn2Cl

A relaxed MgIn2Cl crystal (PBE, Alexandria).

Summary:
Density of states at the Fermi level in states/eV per cell: 1.54
Symmetry: P4mm
Magnetic moment in μB per formula unit: 0.00

Lattice parameters (Å, degrees): 3.2485 3.2485 10.0756 90.00 90.00 90.00
With the nearest neighbours (Å) after each atom.
Fractional positions:
1 Mg 0.0000 0.0000 0.0000  4 Cl 2.69
2 In 0.0000 0.0000 0.5256  8 In 3.25-3.41
3 In 0.5000 0.5000 0.7757  4 Mg 3.22, 8 In 3.25-3.41
4 Cl 0.5000 0.5000 0.1384  4 Mg 2.69


Which structure is most stable, and how do the rest compare? From most to least stable: version x, version w.


Version w
# MgIn2Cl

A relaxed MgIn2Cl crystal (PBE, Alexandria).

Summary:
Density of states at the Fermi level in states/eV per cell: 3.56
Symmetry: Cm
Magnetic moment in μB per formula unit: 0.00

Lattice parameters (Å, degrees): 11.5312 3.3393 6.2722 90.00 119.31 90.00
With the nearest neighbours (Å) after each atom.
Fractional positions:
1 Mg 0.0000 0.0000 0.0000  2 Cl 2.45
2 Mg 0.5000 0.5000 0.0000  2 Cl 2.45
3 In 0.2608 0.0000 0.6104  2 Mg 3.13, 5 In 3.23-3.42
4 In 0.4652 0.0000 0.3965  2 Mg 3.18, 5 In 3.23-3.42, 1 Cl 3.33
5 In 0.7608 0.5000 0.6104  2 Mg 3.13, 5 In 3.23-3.42
6 In 0.9652 0.5000 0.3965  2 Mg 3.18, 5 In 3.23-3.42, 1 Cl 3.33
7 Cl 0.1558 0.5000 0.0030  2 Mg 2.45
8 Cl 0.6558 0.0000 0.0030  2 Mg 2.45


Version x
# MgIn2Cl

A relaxed MgIn2Cl crystal (PBE, Alexandria).

Summary:
Density of states at the Fermi level in states/eV per cell: 2.62
Symmetry: Cmmm
Magnetic moment in μB per formula unit: 0.00

Lattice parameters (Å, degrees): 3.5439 5.8132 9.9480 90.00 90.00 90.00
With the nearest neighbours (Å) after each atom.
Fractional positions:
1 Mg 0.0000 0.0000 0.0000  4 In 3.19, 6 Mg 3.40-3.54
2 Mg 0.5000 0.5000 0.0000  4 In 3.19, 6 Mg 3.40-3.54
3 In 0.0000 0.5000 0.2667  2 Cl 2.92, 2 Mg 3.19
4 In 0.0000 0.5000 0.7333  2 Cl 2.92, 2 Mg 3.19
5 In 0.5000 0.0000 0.2667  2 Cl 2.92, 2 Mg 3.19
6 In 0.5000 0.0000 0.7333  2 Cl 2.92, 2 Mg 3.19
7 Cl 0.0000 0.0000 0.5000  4 In 2.92
8 Cl 0.5000 0.5000 0.5000  4 In 2.92


Which structure is most stable, and how do the rest compare? From most to least stable: version w, version x.